[1]
The following is a DFT calculation (PBE) of LuInAgRu after structural relaxation.

Unit cell a=6.737 b=6.737 c=6.737 alpha=90.00 beta=90.00 gamma=90.00
Fractional coordinates of all 16 atoms:
Lu1 0.000 0.000 0.000
Lu2 0.000 0.500 0.500
Lu3 0.500 0.000 0.500
Lu4 0.500 0.500 0.000
In1 0.000 0.000 0.500
In2 0.000 0.500 0.000
In3 0.500 0.000 0.000
In4 0.500 0.500 0.500
Ag1 0.250 0.250 0.750
Ag2 0.250 0.750 0.250
Ag3 0.750 0.250 0.250
Ag4 0.750 0.750 0.750
Ru1 0.250 0.250 0.250
Ru2 0.250 0.750 0.750
Ru3 0.750 0.250 0.750
Ru4 0.750 0.750 0.250

Output
As for the symmetry: No. 216. Its energy of formation from the pure elements is -0.9 eV per formula unit. The value obtained for the energy is -5.075 eV/atom.



[2]
The following is a DFT calculation (PBE) of SmLuInAg after structural relaxation.

Unit cell a=7.434 b=7.434 c=7.434 alpha=90.00 beta=90.00 gamma=90.00
Fractional coordinates of all 16 atoms:
Sm1 0.000 0.000 0.000
Sm2 0.000 0.500 0.500
Sm3 0.500 0.000 0.500
Sm4 0.500 0.500 0.000
Lu1 0.000 0.000 0.500
Lu2 0.000 0.500 0.000
Lu3 0.500 0.000 0.000
Lu4 0.500 0.500 0.500
In1 0.250 0.250 0.250
In2 0.250 0.750 0.750
In3 0.750 0.250 0.750
In4 0.750 0.750 0.250
Ag1 0.250 0.250 0.750
Ag2 0.250 0.750 0.250
Ag3 0.750 0.250 0.250
Ag4 0.750 0.750 0.750

Output
As for the symmetry: No. 216. Its energy of formation from the pure elements is -1.5 eV per formula unit. The value obtained for the energy is -4.087 eV/atom.



[3]
The following is a DFT calculation (PBE) of SrLuInAg after structural relaxation.

Unit cell a=7.615 b=7.615 c=7.615 alpha=90.00 beta=90.00 gamma=90.00
Fractional coordinates of all 16 atoms:
Sr1 0.000 0.000 0.000
Sr2 0.000 0.500 0.500
Sr3 0.500 0.000 0.500
Sr4 0.500 0.500 0.000
Lu1 0.000 0.000 0.500
Lu2 0.000 0.500 0.000
Lu3 0.500 0.000 0.000
Lu4 0.500 0.500 0.500
In1 0.250 0.250 0.750
In2 0.250 0.750 0.250
In3 0.750 0.250 0.250
In4 0.750 0.750 0.750
Ag1 0.250 0.250 0.250
Ag2 0.250 0.750 0.750
Ag3 0.750 0.250 0.750
Ag4 0.750 0.750 0.250

Output
As for the symmetry: No. 216. Its energy of formation from the pure elements is -1.1 eV per formula unit. The value obtained for the energy is -3.222 eV/atom.



[4]
The following is a DFT calculation (PBE) of LuThInAg after structural relaxation.

Unit cell a=7.493 b=7.493 c=7.493 alpha=90.00 beta=90.00 gamma=90.00
Fractional coordinates of all 16 atoms:
Lu1 0.000 0.000 0.000
Lu2 0.000 0.500 0.500
Lu3 0.500 0.000 0.500
Lu4 0.500 0.500 0.000
Th1 0.000 0.000 0.500
Th2 0.000 0.500 0.000
Th3 0.500 0.000 0.000
Th4 0.500 0.500 0.500
In1 0.250 0.250 0.250
In2 0.250 0.750 0.750
In3 0.750 0.250 0.750
In4 0.750 0.750 0.250
Ag1 0.250 0.250 0.750
Ag2 0.250 0.750 0.250
Ag3 0.750 0.250 0.250
Ag4 0.750 0.750 0.750

Output
As for the symmetry: No. 216. Its energy of formation from the pure elements is -0.9 eV per formula unit. The value obtained for the energy is -4.597 eV/atom.



[5]
The following is a DFT calculation (PBE) of LuTiInAg after structural relaxation.

Unit cell a=6.986 b=6.986 c=6.986 alpha=90.00 beta=90.00 gamma=90.00
Fractional coordinates of all 16 atoms:
Lu1 0.000 0.000 0.000
Lu2 0.000 0.500 0.500
Lu3 0.500 0.000 0.500
Lu4 0.500 0.500 0.000
Ti1 0.000 0.000 0.500
Ti2 0.000 0.500 0.000
Ti3 0.500 0.000 0.000
Ti4 0.500 0.500 0.500
In1 0.250 0.250 0.250
In2 0.250 0.750 0.750
In3 0.750 0.250 0.750
In4 0.750 0.750 0.250
Ag1 0.250 0.250 0.750
Ag2 0.250 0.750 0.250
Ag3 0.750 0.250 0.250
Ag4 0.750 0.750 0.750

Output
As for the symmetry: No. 216. Its energy of formation from the pure elements is -0.5 eV per formula unit. The value obtained for the energy is -4.639 eV/atom.



[6]
The following is a DFT calculation (PBE) of LuZrInAg after structural relaxation.

Unit cell a=7.133 b=7.133 c=7.133 alpha=90.00 beta=90.00 gamma=90.00
Fractional coordinates of all 16 atoms:
Lu1 0.000 0.000 0.000
Lu2 0.000 0.500 0.500
Lu3 0.500 0.000 0.500
Lu4 0.500 0.500 0.000
Zr1 0.000 0.000 0.500
Zr2 0.000 0.500 0.000
Zr3 0.500 0.000 0.000
Zr4 0.500 0.500 0.500
In1 0.250 0.250 0.250
In2 0.250 0.750 0.750
In3 0.750 0.250 0.750
In4 0.750 0.750 0.250
Ag1 0.250 0.250 0.750
Ag2 0.250 0.750 0.250
Ag3 0.750 0.250 0.250
Ag4 0.750 0.750 0.750

Output
As for the symmetry: No. 216. Its energy of formation from the pure elements is -0.9 eV per formula unit. The value obtained for the energy is -4.877 eV/atom.



[7]
The following is a DFT calculation (PBE) of MgInAg2 after structural relaxation.

Unit cell a=4.555 b=4.555 c=3.762 alpha=90.00 beta=90.00 gamma=90.00
Fractional coordinates of all 4 atoms:
Mg1 0.000 0.000 0.000
In1 0.500 0.500 0.000
Ag1 0.000 0.500 0.500
Ag2 0.500 0.000 0.500

Output
As for the symmetry: No. 123. Its energy of formation from the pure elements is -0.5 eV per formula unit. The value obtained for the energy is -2.637 eV/atom. The energy relative to the lowest polymorph listed for this composition comes out at 20 meV/atom.



[8]
The following is a DFT calculation (PBE) of Mg5In2Ag after structural relaxation.

Unit cell a=6.512 b=7.821 c=6.893 alpha=90.00 beta=90.00 gamma=90.00
Fractional coordinates of all 16 atoms:
Mg1 0.000 0.000 0.000
Mg2 0.247 0.217 0.701
Mg3 0.247 0.783 0.701
Mg4 0.253 0.283 0.201
Mg5 0.253 0.717 0.201
Mg6 0.500 0.500 0.500
Mg7 0.747 0.283 0.201
Mg8 0.747 0.717 0.201
Mg9 0.753 0.217 0.701
Mg10 0.753 0.783 0.701
In1 0.000 0.500 0.479
In2 0.000 0.500 0.921
In3 0.500 0.000 0.421
In4 0.500 0.000 0.979
Ag1 0.000 0.000 0.421
Ag2 0.500 0.500 0.921

Output
As for the symmetry: No. 44. Its energy of formation from the pure elements is -0.7 eV per formula unit. The value obtained for the energy is -2.120 eV/atom. The energy relative to the lowest polymorph listed for this composition comes out at 0 meV/atom.



[9]
The following is a DFT calculation (PBE) of MgIn4Ag15 after structural relaxation.

Unit cell a=4.307 b=4.307 c=20.162 alpha=90.00 beta=90.00 gamma=90.00
Fractional coordinates of all 20 atoms:
Mg1 0.000 0.000 0.000
In1 0.000 0.000 0.197
In2 0.000 0.000 0.399
In3 0.000 0.000 0.601
In4 0.000 0.000 0.803
Ag1 0.000 0.500 0.097
Ag2 0.000 0.500 0.298
Ag3 0.000 0.500 0.500
Ag4 0.000 0.500 0.702
Ag5 0.000 0.500 0.903
Ag6 0.500 0.000 0.097
Ag7 0.500 0.000 0.298
Ag8 0.500 0.000 0.500
Ag9 0.500 0.000 0.702
Ag10 0.500 0.000 0.903
Ag11 0.500 0.500 0.000
Ag12 0.500 0.500 0.198
Ag13 0.500 0.500 0.399
Ag14 0.500 0.500 0.601
Ag15 0.500 0.500 0.802

Output
As for the symmetry: No. 123. Its energy of formation from the pure elements is -1.1 eV per formula unit. The value obtained for the energy is -2.820 eV/atom.



[10]
The following is a DFT calculation (PBE) of MgInAg3 after structural relaxation.

Unit cell a=5.029 b=5.029 c=5.029 alpha=90.00 beta=90.00 gamma=90.00
Fractional coordinates of all 5 atoms:
Mg1 0.000 0.000 0.000
In1 0.500 0.500 0.500
Ag1 0.000 0.000 0.500
Ag2 0.000 0.500 0.000
Ag3 0.500 0.000 0.000

Output
As for the symmetry: No. 221. Its energy of formation from the pure elements is 2.4 eV per formula unit. The value obtained for the energy is -2.103 eV/atom. The energy relative to the lowest polymorph listed for this composition comes out at 558 meV/atom.



[11]
The following is a DFT calculation (PBE) of Mg2In5Ag after structural relaxation.

Unit cell a=5.891 b=5.891 c=20.721 alpha=90.00 beta=90.00 gamma=147.70
Fractional coordinates of all 16 atoms:
Mg1 0.169 0.831 0.653
Mg2 0.169 0.831 0.847
Mg3 0.831 0.169 0.153
Mg4 0.831 0.169 0.347
In1 0.099 0.901 0.116
In2 0.099 0.901 0.384
In3 0.369 0.631 0.025
In4 0.369 0.631 0.475
In5 0.499 0.501 0.250
In6 0.501 0.499 0.750
In7 0.631 0.369 0.525
In8 0.631 0.369 0.975
In9 0.901 0.099 0.616
In10 0.901 0.099 0.884
Ag1 0.224 0.776 0.250
Ag2 0.776 0.224 0.750

Output
As for the symmetry: No. 63. Its energy of formation from the pure elements is -0.4 eV per formula unit. The value obtained for the energy is -2.513 eV/atom.



[12]
The following is a DFT calculation (PBE) of Mg6InAg5 after structural relaxation.

Unit cell a=8.156 b=8.156 c=8.156 alpha=146.67 beta=128.76 gamma=62.51
Fractional coordinates of all 12 atoms:
Mg1 0.070 0.329 0.741
Mg2 0.232 0.000 0.232
Mg3 0.412 0.671 0.741
Mg4 0.588 0.329 0.259
Mg5 0.768 0.000 0.768
Mg6 0.930 0.671 0.259
In1 0.500 0.500 0.000
Ag1 0.000 0.500 0.500
Ag2 0.168 0.168 0.000
Ag3 0.339 0.839 0.500
Ag4 0.661 0.161 0.500
Ag5 0.832 0.832 0.000

Output
As for the symmetry: No. 71. Its energy of formation from the pure elements is -2.4 eV per formula unit. The value obtained for the energy is -2.417 eV/atom.



[13]
The following is a DFT calculation (PBE) of Mg2InAg2 after structural relaxation.

Unit cell a=3.865 b=3.865 c=15.121 alpha=90.00 beta=90.00 gamma=90.00
Fractional coordinates of all 10 atoms:
Mg1 0.000 0.000 0.108
Mg2 0.000 0.000 0.892
Mg3 0.500 0.500 0.392
Mg4 0.500 0.500 0.608
In1 0.000 0.000 0.500
In2 0.500 0.500 0.000
Ag1 0.000 0.500 0.250
Ag2 0.000 0.500 0.750
Ag3 0.500 0.000 0.250
Ag4 0.500 0.000 0.750

Output
As for the symmetry: No. 139. Its energy of formation from the pure elements is 0.0 eV per formula unit. The value obtained for the energy is -2.317 eV/atom. The energy relative to the lowest polymorph listed for this composition comes out at 168 meV/atom.



[14]
The following is a DFT calculation (PBE) of Mg3In2Ag7 after structural relaxation.

Unit cell a=4.761 b=4.761 c=10.521 alpha=102.85 beta=102.85 gamma=90.60
Fractional coordinates of all 12 atoms:
Mg1 0.000 0.000 0.000
Mg2 0.338 0.339 0.675
Mg3 0.662 0.661 0.325
In1 0.165 0.166 0.331
In2 0.835 0.834 0.669
Ag1 0.080 0.581 0.162
Ag2 0.251 0.750 0.500
Ag3 0.420 0.921 0.838
Ag4 0.500 0.500 0.000
Ag5 0.580 0.079 0.162
Ag6 0.749 0.250 0.500
Ag7 0.920 0.419 0.838

Output
As for the symmetry: No. 2. Its energy of formation from the pure elements is -1.8 eV per formula unit. The value obtained for the energy is -2.671 eV/atom.